Below is a relaxed V2Zn3H2O11 crystal, with properties calculated at the PBE+U level. Values from VASP.

Quantum ESPRESSO input file:
```
&SYSTEM
  ibrav = 0, nat = 18, ntyp = 4
/
ATOMIC_SPECIES
V 50.94 V.upf
Zn 65.41 Zn.upf
H 1.01 H.upf
O 16.00 O.upf
ATOMIC_POSITIONS crystal
V 0.009 0.965 0.231
V 0.035 0.991 0.769
Zn 0.532 0.468 0.500
Zn 0.550 0.913 0.394
Zn 0.087 0.450 0.606
H 0.644 0.769 0.703
H 0.231 0.356 0.297
O 0.187 0.141 0.728
O 0.213 0.674 0.677
O 0.734 0.162 0.673
O 0.859 0.813 0.272
O 0.838 0.266 0.327
O 0.326 0.787 0.323
O 0.705 0.665 0.590
O 0.335 0.295 0.410
O 0.022 0.978 0.000
O 0.562 0.973 0.879
O 0.027 0.438 0.121
CELL_PARAMETERS angstrom
-5.929 -1.656 -1.183
-2.757 -5.163 2.245
-1.799 4.342 6.107
```

Values from the calculation:
Space-group type   C2 (5)
Total energy   -5.53 eV/atom